Compound: TaGaCoO6
Source: Alexandria via LeMat-Bulk
Functional: PBE with a Hubbard U
Structure: relaxed

a = 4.5783 Å, b = 4.5783 Å, c = 8.9884 Å
α = 90.00°, β = 90.00°, γ = 90.00°
With the nearest neighbours (Å) after each atom.
Positions (direct):
Ta1 0.0000 0.0000 0.0000  6 O 1.98-2.01
Ta2 0.5000 0.5000 0.5000  6 O 1.98-2.01
Ga1 0.0000 0.0000 0.6654  6 O 1.97-2.05
Ga2 0.5000 0.5000 0.1654  6 O 1.97-2.05
Co1 0.0000 0.0000 0.3341  6 O 1.88-1.92
Co2 0.5000 0.5000 0.8341  6 O 1.88-1.92
O1 0.1901 0.1901 0.4943  1 Co 1.89, 1 Ga 1.97, 1 Ta 2.01
O2 0.1922 0.1922 0.1718  1 Co 1.92, 1 Ta 1.98, 1 Ga 1.99
O3 0.2091 0.2091 0.8368  1 Co 1.88, 1 Ta 2.00, 1 Ga 2.05
O4 0.2909 0.7091 0.3368  1 Co 1.88, 1 Ta 2.00, 1 Ga 2.05
O5 0.3078 0.6922 0.6718  1 Co 1.92, 1 Ta 1.98, 1 Ga 1.99
O6 0.3099 0.6901 0.9943  1 Co 1.89, 1 Ga 1.97, 1 Ta 2.01
O7 0.6901 0.3099 0.9943  1 Co 1.89, 1 Ga 1.97, 1 Ta 2.01
O8 0.6922 0.3078 0.6718  1 Co 1.92, 1 Ta 1.98, 1 Ga 1.99
O9 0.7091 0.2909 0.3368  1 Co 1.88, 1 Ta 2.00, 1 Ga 2.05
O10 0.7909 0.7909 0.8368  1 Co 1.88, 1 Ta 2.00, 1 Ga 2.05
O11 0.8078 0.8078 0.1718  1 Co 1.92, 1 Ta 1.98, 1 Ga 1.99
O12 0.8099 0.8099 0.4943  1 Co 1.89, 1 Ga 1.97, 1 Ta 2.01

space-group type	P4_2nm
VASP energy	-65.67	eV per formula unit
spin magnetization	2.0	μB per cell